# 1
Compound: Ac2PdPb3
Source: the Alexandria database
Functional: PBE
Structure: relaxed

As for the magnetization: 0.000 μB/atom. The formation energy is -0.514 eV per atom.

The structure belongs to space group Cm (No. 8); the cell edges are 12.102, 5.060 and 7.976 Å and the angles 90.00°, 130.80° and 90.00°. The inequivalent atoms are Ac at (0.000, 0.000, 0.000), Ac at (0.112, 0.000, 0.596), Pd at (0.242, 0.500, 0.032), Pb at (0.225, 0.500, 0.386), Pb at (0.374, 0.000, 0.180) and Pb at (0.438, 0.000, 0.659).



# 2
Compound: LiIrRu
Source: the Alexandria database
Functional: PBE
Structure: relaxed

As for the magnetization: 0.000 μB/atom. Its energy above the most stable polymorph in this dataset is 133 meV/atom. The formation energy is 0.115 eV per atom.

The structure belongs to space group Pnma (No. 62); the cell edges are 5.311, 3.841 and 7.988 Å and the angles 90.00°, 90.00° and 90.00°. The inequivalent atoms are Li at (0.091, 0.250, 0.070), Ir at (0.104, 0.250, 0.407) and Ru at (0.183, 0.250, 0.731).



# 3
Compound: Ag2ClF
Source: the Alexandria database
Functional: PBE
Structure: relaxed

As for the magnetization: 0.000 μB/atom. Its energy above the most stable polymorph in this dataset is 0 meV/atom. The calculation puts the energy relative to the elements, uncorrected at -0.696 eV/atom.

The structure belongs to space group Cmce (No. 64); the cell edges are 6.174, 15.491 and 7.089 Å and the angles 90.00°, 90.00° and 90.00°. The inequivalent atoms are Ag at (0.000, 0.055, 0.226), Ag at (0.250, 0.186, 0.750), Cl at (0.000, 0.183, 0.422) and F at (0.000, 0.077, 0.880).



# 4
Compound: AsPbCBr2
Source: the Alexandria database
Functional: PBE
Structure: relaxed

As for the magnetization: 0.806 μB/atom. Its energy above the most stable polymorph in this dataset is 746 meV/atom. The calculation puts the energy relative to the elements, uncorrected at 1.611 eV/atom.

The structure belongs to space group P4/mmm (No. 123); the cell edges are 5.843, 5.843 and 5.799 Å and the angles 90.00°, 90.00° and 90.00°. The inequivalent atoms are As at (0.000, 0.000, 0.000), Pb at (0.000, 0.000, 0.500), C at (0.500, 0.500, 0.000) and Br at (0.000, 0.500, 0.500).